The following is a PBE calculation of crystalline LaY2ScO at its relaxed geometry, from Alexandria via LeMat-Bulk.

Lattice parameters (Å, degrees): 4.8132 4.8132 5.2862 90.00 90.00 90.00
With the nearest neighbours (Å) after each atom.
Atoms (fractional coordinates):
O 0.0000 0.0000 0.0000  4 Y 2.41, 2 La 2.64
Y 0.0000 0.5000 0.0000  2 O 2.41
Y 0.5000 0.0000 0.0000  2 O 2.41
Sc 0.5000 0.5000 0.5000  4 La 3.40, 8 Y 3.57
La 0.0000 0.0000 0.5000  2 O 2.64

Values from the calculation:
The calculation puts the theoretical density at 5.12 g/cm3. The value obtained for the formation energy without anion corrections is -1.122 eV/atom. For the energy above the most stable polymorph in this dataset, the calculation gives 0.0 meV per atom. Its space group is No. 123. For the density of states at the Fermi level, the calculation gives 7.40 states/eV per cell. For the energy, the calculation gives -6.951 eV/atom.